Below is a geometry-optimized SrNdIn structure, with properties calculated at the PBE level.

Computed properties:
Symmetry   F-43m (216)
E_tot   -2.858 eV per atom
Size of the total moment   0.00 μB/f.u.

a b c (Å): 5.403 5.403 5.403
angles (deg): 60.00 60.00 60.00
Element x y z (fractional)
1 Sr 0.750 0.750 0.750
2 In 0.250 0.250 0.250
3 Nd 0.000 0.000 0.000